The following is a meta-GGA SCAN calculation of a crystal of HfAl3Bi relaxed with PBEsol, from Alexandria.

a b c (Å): 5.1642 5.1642 5.1642
angles (deg): 90.00 90.00 90.00
Closest atoms and distances in Å follow each position.
Space group Pm-3m (No. 221)
Asymmetric unit:
Hf (0.0000, 0.0000, 0.0000) [1 per cell]  6 Al 2.58
Al (0.0000, 0.0000, 0.5000) [3 per cell]  2 Hf 2.58
Bi (0.5000, 0.5000, 0.5000) [1 per cell]  12 Al 3.65

## Properties
The size of the total moment comes out at 0.00 Bohr magnetons per cell. The energy relative to the elements is 0.94 eV per atom.